(1)
Computed, not measured: Si3AsH27C9 after structural relaxation at the PBE level of DFT.

Cell: 10.2690 15.8226 12.9464 Å, 90.00 114.74 90.00°
Last column: nearest neighbours and their distance in Å.
Space group P2_1/c (No. 14)
Symmetry-distinct sites (fractional):
Si  0.0191  0.2089  0.4710 [4 per cell]  3 C 1.89
Si  0.2904  0.1165  0.0621 [4 per cell]  3 C 1.89
Si  0.4098  0.1585  0.5991 [4 per cell]  3 C 1.89
As  0.2392  0.2490  0.9647 [4 per cell]  3 Si 2.39
H  0.0181  0.0654  0.3872 [4 per cell]  1 C 1.10
H  0.0678  0.6412  0.2211 [4 per cell]  1 C 1.10
H  0.0737  0.0437  0.9169 [4 per cell]  1 C 1.10
H  0.0763  0.2190  0.6800 [4 per cell]  1 C 1.10
H  0.0761  0.6464  0.5187 [4 per cell]  1 C 1.10
H  0.0797  0.6571  0.8958 [4 per cell]  1 C 1.10
H  0.0933  0.1134  0.6412 [4 per cell]  1 C 1.10
H  0.1194  0.6755  0.6622 [4 per cell]  1 C 1.10
H  0.1225  0.1100  0.1580 [4 per cell]  1 C 1.10
H  0.1588  0.5997  0.1417 [4 per cell]  1 C 1.10
H  0.2148  0.5293  0.4884 [4 per cell]  1 C 1.10
H  0.2168  0.7195  0.5892 [4 per cell]  1 C 1.10
H  0.2211  0.0368  0.8794 [4 per cell]  1 C 1.10
H  0.2481  0.0332  0.5736 [4 per cell]  1 C 1.10
H  0.2718  0.0420  0.2240 [4 per cell]  1 C 1.10
H  0.2899  0.1527  0.2518 [4 per cell]  1 C 1.10
H  0.3183  0.0338  0.4693 [4 per cell]  1 C 1.10
H  0.3365  0.6272  0.8639 [4 per cell]  1 C 1.10
H  0.3533  0.1715  0.7702 [4 per cell]  1 C 1.10
H  0.3751  0.7358  0.8985 [4 per cell]  1 C 1.10
H  0.4282  0.0015  0.6109 [4 per cell]  1 C 1.10
H  0.4359  0.6583  0.0079 [4 per cell]  1 C 1.10
H  0.4463  0.6375  0.3153 [4 per cell]  1 C 1.10
H  0.4717  0.6297  0.6933 [4 per cell]  1 C 1.10
H  0.4753  0.6034  0.4541 [4 per cell]  1 C 1.10
H  0.4871  0.5300  0.3545 [4 per cell]  1 C 1.10
H  0.4958  0.2396  0.7822 [4 per cell]  1 C 1.10
C  0.0293  0.1715  0.6126 [4 per cell]  3 H 1.10
C  0.0536  0.6205  0.1360 [4 per cell]  3 H 1.10
C  0.1097  0.6992  0.5794 [4 per cell]  3 H 1.10
C  0.1903  0.0345  0.9511 [4 per cell]  3 H 1.10
C  0.2389  0.1050  0.1854 [4 per cell]  3 H 1.10
C  0.3443  0.0465  0.5592 [4 per cell]  3 H 1.10
C  0.4185  0.6715  0.9197 [4 per cell]  3 H 1.10
C  0.4495  0.1767  0.7536 [4 per cell]  3 H 1.10
C  0.4890  0.0954  0.1143 [4 per cell]  3 H 1.10

Output
- calculated total energy (eV/atom) = -5.098
- total magnetic moment (μB per formula unit) = 0.00

---

(2)
Computed, not measured: SmPu4Ir4 after structural relaxation at the PBE level of DFT.

Cell: 8.9893 8.9893 5.5514 Å, 90.00 90.00 90.00°
Last column: nearest neighbours and their distance in Å.
Space group I4/m (No. 87)
Symmetry-distinct sites (fractional):
Sm  0.0000  0.0000  0.0000 [2 per cell]  4 Ir 2.93
Pu  0.1033  0.6882  0.5000 [8 per cell]  5 Ir 2.74-2.84
Ir  0.1146  0.6953  0.0000 [8 per cell]  5 Pu 2.74-2.84, 1 Sm 2.93

Output
- E_form (eV per atom) = -0.37
- calculated total energy (eV/atom) = -11.205
- total magnetic moment (μB per formula unit) = 19.23

---

(3)
Computed, not measured: Si2AuSe after structural relaxation at the PBE level of DFT.

Cell: 3.7634 3.7634 5.2977 Å, 90.00 90.00 90.00°
Last column: nearest neighbours and their distance in Å.
Space group P4/mmm (No. 123)
Symmetry-distinct sites (fractional):
Si  0.0000  0.5000  0.0000 [2 per cell]  4 Si 2.66
Au  0.0000  0.0000  0.5000 [1 per cell]  4 Se 2.66
Se  0.5000  0.5000  0.5000 [1 per cell]  4 Au 2.66

Output
- ΔE_f (raw) (kJ per mole of atoms) = 49.4
- calculated total energy (eV/atom) = -3.890
- total magnetic moment (μB per formula unit) = 0.00

---

(4)
Computed, not measured: CePmPb after structural relaxation at the PBE level of DFT.

Cell: 18.0628 4.3902 4.6450 Å, 90.00 90.00 90.00°
Last column: nearest neighbours and their distance in Å.
Space group Pnma (No. 62)
Symmetry-distinct sites (fractional):
Ce  0.0053  0.2500  0.1910 [4 per cell]  2 Ce 2.83
Pm  0.1793  0.7500  0.2243 [4 per cell]  5 Pb 3.26-3.31
Pb  0.1375  0.2500  0.7171 [4 per cell]  4 Ce 3.25-3.42, 5 Pm 3.26-3.31

Output
- excess energy over the best structure of this formula in the dataset (eV/atom) = 0.000
- E_form (eV per atom) = -0.43
- calculated total energy (eV/atom) = -5.225
- total magnetic moment (μB per formula unit) = 0.75